# 1
Below is a relaxed structure of KTl4In4, with properties calculated at the PBE level.

Cell and atoms, written as POSCAR:
```
KTl4In4
1.0
-3.994 2.233 2.274
-6.397 -4.034 -1.534
-0.873 -2.929 7.086
K Tl In
1 4 4
direct
0.000 0.000 0.000
0.326 0.347 0.000
0.674 0.653 0.000
0.674 0.000 0.653
0.326 0.000 0.347
0.000 0.651 0.349
0.000 0.349 0.651
0.651 0.349 0.349
0.349 0.651 0.651
```

Final energy: -21.81 eV for the cell shown
Energy relative to the elements: -33 meV/atom
Energy above the lowest structure with this stoichiometry: 0.0000 eV per atom
Magnetization: 0.00 μB per formula unit
Crystal system: tetragonal
Space-group type: I4/mmm, No. 139

=====

# 2
Below is a relaxed structure of KTl5In, with properties calculated at the PBE level.

Cell and atoms, written as POSCAR:
```
KTl5In
1.0
3.289 -4.734 0.000
3.289 4.734 0.000
0.000 0.000 8.046
K Tl In
1 5 1
direct
0.000 0.000 0.000
0.500 0.000 0.279
0.000 0.500 0.279
0.000 0.000 0.500
0.000 0.500 0.721
0.500 0.000 0.721
0.500 0.500 0.500
```

Final energy: -15.61 eV for the cell shown
Energy relative to the elements: 8 meV/atom
Energy above the lowest structure with this stoichiometry: 0.0276 eV per atom
Magnetization: 0.00 μB per formula unit
Crystal system: orthorhombic
Space-group type: Cmmm, No. 65

=====

# 3
Below is a relaxed structure of K2Tl2In, with properties calculated at the PBE level.

Cell and atoms, written as POSCAR:
```
K2Tl2In
1.0
5.211 0.000 0.000
2.606 6.406 -0.195
2.606 0.054 11.516
K Tl In
4 4 2
direct
0.670 0.328 0.331
0.910 0.296 0.885
0.330 0.672 0.669
0.090 0.704 0.115
0.093 0.263 0.552
0.616 0.883 0.885
0.907 0.737 0.448
0.384 0.117 0.115
0.634 0.084 0.648
0.366 0.916 0.352
```

Final energy: -20.34 eV for the cell shown
Energy relative to the elements: -101 meV/atom
Energy above the lowest structure with this stoichiometry: 0.0043 eV per atom
Magnetization: 0.00 μB per formula unit
Crystal system: monoclinic
Space-group type: C2/m, No. 12

=====

# 4
Below is a relaxed structure of K2Tl2In, with properties calculated at the PBE level.

Cell and atoms, written as POSCAR:
```
K2Tl2In
1.0
8.032 0.000 0.000
0.000 8.032 0.000
0.000 0.000 5.894
Tl K In
4 4 2
direct
0.364 0.864 0.000
0.864 0.636 0.000
0.636 0.136 0.000
0.136 0.364 0.000
0.178 0.678 0.500
0.678 0.822 0.500
0.822 0.322 0.500
0.322 0.178 0.500
0.000 0.000 0.000
0.500 0.500 0.000
```

Final energy: -19.88 eV for the cell shown
Energy relative to the elements: -55 meV/atom
Energy above the lowest structure with this stoichiometry: 0.0498 eV per atom
Magnetization: 0.00 μB per formula unit
Crystal system: tetragonal
Space-group type: P4/mbm, No. 127

=====

# 5
Below is a relaxed structure of K2Tl12In5, with properties calculated at the PBE level.

Cell and atoms, written as POSCAR:
```
K2Tl12In5
1.0
8.539 0.238 0.977
0.898 8.495 0.977
0.257 0.238 8.591
K Tl In
2 12 5
direct
0.663 0.663 0.663
0.337 0.337 0.337
0.294 0.706 0.000
0.706 0.000 0.294
0.000 0.294 0.706
0.706 0.294 0.000
0.294 0.000 0.706
0.000 0.706 0.294
0.354 0.354 0.858
0.354 0.858 0.354
0.858 0.354 0.354
0.646 0.142 0.646
0.646 0.646 0.142
0.142 0.646 0.646
0.000 0.000 0.500
0.000 0.500 0.000
0.500 0.000 0.000
0.904 0.904 0.904
0.096 0.096 0.096
```

Final energy: -44.65 eV for the cell shown
Energy relative to the elements: -19 meV/atom
Magnetization: 0.00 μB per formula unit
Crystal system: trigonal
Space-group type: R-3m, No. 166

=====

# 6
Below is a relaxed structure of K2Tl2In, with properties calculated at the PBE level.

Cell and atoms, written as POSCAR:
```
K2Tl2In
1.0
10.446 0.000 0.000
0.000 10.446 0.000
0.000 0.000 3.472
Tl K In
4 4 2
direct
0.110 0.610 0.500
0.610 0.890 0.500
0.890 0.390 0.500
0.390 0.110 0.500
0.315 0.815 0.000
0.815 0.685 0.000
0.685 0.185 0.000
0.185 0.315 0.000
0.000 0.000 0.000
0.500 0.500 0.000
```

Final energy: -18.28 eV for the cell shown
Energy relative to the elements: 105 meV/atom
Energy above the lowest structure with this stoichiometry: 0.2097 eV per atom
Magnetization: 0.00 μB per formula unit
Crystal system: tetragonal
Space-group type: P4/mbm, No. 127